Entry 1:
Here is a relaxed structure of KDyCdTe3 from the Open Quantum Materials Database. Energies are from PBE.

Values from the calculation:
**SG**: Cmcm (63)
**E above lowest polymorph**: 0.0 meV/atom
**V**: 34.93 A^3/atom

Geometry as POSCAR:
```
KDyCdTe3
1.0
2.7897 2.3030 -7.4118
-4.2576 -5.4086 4.5433
-9.8379 6.2707 -1.7544
Te Dy K Cd
6 2 2 2
direct
0.3677 0.6323 0.9513 Te
0.6323 0.3677 0.4513 Te
0.3677 0.6323 0.5487 Te
0.6323 0.3677 0.0487 Te
0.9244 0.0756 0.2500 Te
0.0756 0.9244 0.7500 Te
0.0000 0.0000 0.0000 Dy
0.0000 0.0000 0.5000 Dy
0.7552 0.2448 0.7500 K
0.2448 0.7552 0.2500 K
0.4620 0.5381 0.7500 Cd
0.5381 0.4620 0.2500 Cd
```



Entry 2:
Here is a relaxed structure of NaNi3Pb5 from the Open Quantum Materials Database. Energies are from PBE.

Values from the calculation:
**SG**: P6/mmm (191)
**V**: 23.43 A^3/atom
**Uncorrected energy**: -4.03 eV per atom

Geometry as POSCAR:
```
NaNi3Pb5
1.0
-1.3601 -4.2697 3.0723
-1.7071 0.2952 -5.1495
6.8019 -3.9522 -2.4814
Pb Ni Na
5 3 1
direct
0.0000 0.0000 0.5000 Pb
0.6667 0.3333 0.2170 Pb
0.3333 0.6667 0.2170 Pb
0.6667 0.3333 0.7830 Pb
0.3333 0.6667 0.7830 Pb
0.0000 0.5000 0.5000 Ni
0.5000 0.5000 0.5000 Ni
0.5000 0.0000 0.5000 Ni
0.0000 0.0000 0.0000 Na
```